# PBE-GGA Er8Te4As3Pt, optimized geometry
# energy relative to the elements, uncorrected	-1.385	eV/atom
data_Er8Te4As3Pt
_cell_length_a 8.3712
_cell_length_b 8.3712
_cell_length_c 20.9793
_cell_angle_alpha 90.00
_cell_angle_beta 90.00
_cell_angle_gamma 120.00
_symmetry_space_group_name_H-M 'R -3 m'
_symmetry_Int_Tables_number 166
_symmetry_space_group_name_Hall '-R 3 2"'
loop_
_atom_site_label
_atom_site_type_symbol
_atom_site_fract_x
_atom_site_fract_y
_atom_site_fract_z
_atom_site_occupancy
Er1 Er 0.0000 0.0000 0.2393 1
Er2 Er 0.0075 0.5037 0.2385 1
Te1 Te 0.0000 0.0000 0.0000 1
Te2 Te 0.0000 0.5000 0.0000 1
As1 As 0.0000 0.5000 0.5000 1
Pt1 Pt 0.0000 0.0000 0.5000 1



# PBE-GGA Er6Te3AsPt2, optimized geometry
# energy relative to the elements, uncorrected	-1.306	eV/atom
data_Er6Te3AsPt2
_cell_length_a 7.155
_cell_length_b 12.456
_cell_length_c 7.585
_cell_angle_alpha 90.00
_cell_angle_beta 108.63
_cell_angle_gamma 90.00
_symmetry_space_group_name_H-M 'C 1 2/m 1'
_symmetry_Int_Tables_number 12
_symmetry_space_group_name_Hall '-C 2y'
loop_
_atom_site_label
_atom_site_type_symbol
_atom_site_fract_x
_atom_site_fract_y
_atom_site_fract_z
_atom_site_occupancy
Er1 Er 0.229 0.000 0.213 1
Er2 Er 0.242 0.329 0.215 1
Te1 Te 0.000 0.000 0.500 1
Te2 Te 0.000 0.338 0.500 1
As1 As 0.000 0.500 0.000 1
Pt1 Pt 0.000 0.168 0.000 1



# PBE-GGA Er8Te4AsPt3, optimized geometry
# energy relative to the elements, uncorrected	-1.290	eV/atom
data_Er8Te4AsPt3
_cell_length_a 8.2983
_cell_length_b 8.2983
_cell_length_c 21.5125
_cell_angle_alpha 90.00
_cell_angle_beta 90.00
_cell_angle_gamma 120.00
_symmetry_space_group_name_H-M 'R -3 m'
_symmetry_Int_Tables_number 166
_symmetry_space_group_name_Hall '-R 3 2"'
loop_
_atom_site_label
_atom_site_type_symbol
_atom_site_fract_x
_atom_site_fract_y
_atom_site_fract_z
_atom_site_occupancy
Er1 Er 0.0000 0.0000 0.2359 1
Er2 Er 0.0068 0.5034 0.7619 1
Te1 Te 0.0000 0.0000 0.0000 1
Te2 Te 0.0000 0.5000 0.0000 1
As1 As 0.0000 0.0000 0.5000 1
Pt1 Pt 0.0000 0.5000 0.5000 1



# PBE-GGA Er4PuAs5, optimized geometry
# formation enthalpy at 0 K	-1408	meV per atom
data_Er4PuAs5
_cell_length_a 9.152
_cell_length_b 9.152
_cell_length_c 5.785
_cell_angle_alpha 90.00
_cell_angle_beta 90.00
_cell_angle_gamma 90.00
_symmetry_space_group_name_H-M 'I 4/m'
_symmetry_Int_Tables_number 87
_symmetry_space_group_name_Hall '-I 4'
loop_
_atom_site_label
_atom_site_type_symbol
_atom_site_fract_x
_atom_site_fract_y
_atom_site_fract_z
_atom_site_occupancy
Er1 Er 0.101 0.301 0.000 1
Pu1 Pu 0.000 0.000 0.500 1
As1 As 0.000 0.000 0.000 1
As2 As 0.100 0.300 0.500 1



# PBE-GGA ErPuAs, optimized geometry
# formation enthalpy at 0 K	-441	meV per atom
data_ErPuAs
_cell_length_a 4.7333
_cell_length_b 4.7333
_cell_length_c 3.9782
_cell_angle_alpha 90.00
_cell_angle_beta 90.00
_cell_angle_gamma 120.00
_symmetry_space_group_name_H-M 'P 3 m 1'
_symmetry_Int_Tables_number 156
_symmetry_space_group_name_Hall 'P 3 -2"'
loop_
_atom_site_label
_atom_site_type_symbol
_atom_site_fract_x
_atom_site_fract_y
_atom_site_fract_z
_atom_site_occupancy
Er1 Er 0.0000 0.0000 0.0000 1
Pu1 Pu 0.6667 0.3333 0.5214 1
As1 As 0.3333 0.6667 0.1393 1



# PBE-GGA Er5PuAs6, optimized geometry
# formation enthalpy at 0 K	-1425	meV per atom
data_Er5PuAs6
_cell_length_a 7.084
_cell_length_b 12.268
_cell_length_c 7.085
_cell_angle_alpha 90.00
_cell_angle_beta 109.48
_cell_angle_gamma 90.00
_symmetry_space_group_name_H-M 'C 1 2/m 1'
_symmetry_Int_Tables_number 12
_symmetry_space_group_name_Hall '-C 2y'
loop_
_atom_site_label
_atom_site_type_symbol
_atom_site_fract_x
_atom_site_fract_y
_atom_site_fract_z
_atom_site_occupancy
Er1 Er 0.000 0.000 0.000 1
Er2 Er 0.000 0.167 0.500 1
Er3 Er 0.000 0.333 0.000 1
Pu1 Pu 0.000 0.500 0.500 1
As1 As 0.250 0.000 0.750 1
As2 As 0.250 0.167 0.249 1



# PBE-GGA ErPu5As6, optimized geometry
# formation enthalpy at 0 K	-1071	meV per atom
data_ErPu5As6
_cell_length_a 7.153
_cell_length_b 12.380
_cell_length_c 7.130
_cell_angle_alpha 90.00
_cell_angle_beta 109.49
_cell_angle_gamma 90.00
_symmetry_space_group_name_H-M 'C 1 2/m 1'
_symmetry_Int_Tables_number 12
_symmetry_space_group_name_Hall '-C 2y'
loop_
_atom_site_label
_atom_site_type_symbol
_atom_site_fract_x
_atom_site_fract_y
_atom_site_fract_z
_atom_site_occupancy
Er1 Er 0.000 0.000 0.000 1
Pu1 Pu 0.000 0.167 0.500 1
Pu2 Pu 0.000 0.333 0.000 1
Pu3 Pu 0.000 0.500 0.500 1
As1 As 0.250 0.000 0.750 1
As2 As 0.250 0.167 0.249 1



# PBE-GGA ErPuAs, optimized geometry
# formation enthalpy at 0 K	-566	meV per atom
data_ErPuAs
_cell_length_a 3.664
_cell_length_b 3.664
_cell_length_c 11.146
_cell_angle_alpha 90.00
_cell_angle_beta 90.00
_cell_angle_gamma 90.00
_symmetry_space_group_name_H-M 'I 4 m m'
_symmetry_Int_Tables_number 107
_symmetry_space_group_name_Hall 'I 4 -2'
loop_
_atom_site_label
_atom_site_type_symbol
_atom_site_fract_x
_atom_site_fract_y
_atom_site_fract_z
_atom_site_occupancy
Er1 Er 0.000 0.000 0.000 1
Pu1 Pu 0.000 0.000 0.721 1
As1 As 0.000 0.000 0.370 1



# PBE-GGA ErPu2As3Rh4, optimized geometry
# formation enthalpy at 0 K	-779	meV per atom
data_ErPu2As3Rh4
_cell_length_a 4.067
_cell_length_b 4.067
_cell_length_c 11.535
_cell_angle_alpha 90.00
_cell_angle_beta 90.00
_cell_angle_gamma 90.00
_symmetry_space_group_name_H-M 'P -4 m 2'
_symmetry_Int_Tables_number 115
_symmetry_space_group_name_Hall 'P -4 -2'
loop_
_atom_site_label
_atom_site_type_symbol
_atom_site_fract_x
_atom_site_fract_y
_atom_site_fract_z
_atom_site_occupancy
Er1 Er 0.000 0.000 0.000 1
Pu1 Pu 0.000 0.500 0.732 1
As1 As 0.000 0.500 0.373 1
As2 As 0.500 0.500 0.000 1
Rh1 Rh 0.000 0.000 0.500 1
Rh2 Rh 0.000 0.500 0.162 1
Rh3 Rh 0.500 0.500 0.500 1



# PBE-GGA ErPuAsS, optimized geometry
# energy relative to the elements, uncorrected	-1.600	eV/atom
data_ErPuAsS
_cell_length_a 4.0384
_cell_length_b 4.0384
_cell_length_c 19.5166
_cell_angle_alpha 90.00
_cell_angle_beta 90.00
_cell_angle_gamma 120.00
_symmetry_space_group_name_H-M 'R 3 m'
_symmetry_Int_Tables_number 160
_symmetry_space_group_name_Hall 'R 3 -2"'
loop_
_atom_site_label
_atom_site_type_symbol
_atom_site_fract_x
_atom_site_fract_y
_atom_site_fract_z
_atom_site_occupancy
Er1 Er 0.0000 0.0000 0.0000 1
Pu1 Pu 0.0000 0.0000 0.4957 1
As1 As 0.0000 0.0000 0.2495 1
S1 S 0.0000 0.0000 0.7467 1



# PBE-GGA ErPuSc2As4, optimized geometry
# formation enthalpy at 0 K	-1306	meV per atom
data_ErPuSc2As4
_cell_length_a 6.895
_cell_length_b 4.006
_cell_length_c 6.920
_cell_angle_alpha 90.00
_cell_angle_beta 109.51
_cell_angle_gamma 90.00
_symmetry_space_group_name_H-M 'P 1 2/m 1'
_symmetry_Int_Tables_number 10
_symmetry_space_group_name_Hall '-P 2y'
loop_
_atom_site_label
_atom_site_type_symbol
_atom_site_fract_x
_atom_site_fract_y
_atom_site_fract_z
_atom_site_occupancy
Er1 Er 0.000 0.000 0.000 1
Pu1 Pu 0.000 0.500 0.500 1
Sc1 Sc 0.500 0.000 0.500 1
Sc2 Sc 0.500 0.500 0.000 1
As1 As 0.263 0.500 0.254 1
As2 As 0.264 0.000 0.755 1



# PBE-GGA ErPuAsSe, optimized geometry
# energy relative to the elements, uncorrected	-1.505	eV/atom
data_ErPuAsSe
_cell_length_a 4.1166
_cell_length_b 4.1166
_cell_length_c 20.0892
_cell_angle_alpha 90.00
_cell_angle_beta 90.00
_cell_angle_gamma 120.00
_symmetry_space_group_name_H-M 'R 3 m'
_symmetry_Int_Tables_number 160
_symmetry_space_group_name_Hall 'R 3 -2"'
loop_
_atom_site_label
_atom_site_type_symbol
_atom_site_fract_x
_atom_site_fract_y
_atom_site_fract_z
_atom_site_occupancy
Er1 Er 0.0000 0.0000 0.0000 1
Pu1 Pu 0.0000 0.0000 0.5046 1
As1 As 0.0000 0.0000 0.2544 1
Se1 Se 0.0000 0.0000 0.7506 1